No. 1
VASP calculation (PBE-GGA) on a relaxed AcTmPt crystal.

The calculation puts the calculated volume at 371.5 Å³/cell. The density of states at the Fermi level is 9.1 states/eV/cell. Its formation energy from the elements is -0.716 eV per atom. The value obtained for the energy above the lowest structure with this stoichiometry is 178.1 meV per atom.

The space group is F-43m (No. 216) and the conventional cell measures 7.1888, 7.1888 and 7.1888 Å, with angles of 90.00, 90.00 and 90.00 degrees. Symmetry generates all atoms from Ac at (0.0000, 0.0000, 0.0000), Tm at (0.0000, 0.0000, 0.5000) and Pt at (0.2500, 0.2500, 0.7500).

***

No. 2
VASP calculation (PBE-GGA) on a relaxed ZnInGa5 crystal.

The calculation puts the calculated volume at 143.6 Å³/cell. The density of states at the Fermi level is 1.3 states/eV/cell. Its formation energy from the elements is 0.040 eV per atom. The value obtained for the energy above the lowest structure with this stoichiometry is 0.0 meV per atom.

The space group is P4/mmm (No. 123) and the conventional cell measures 4.1054, 4.1054 and 8.5227 Å, with angles of 90.00, 90.00 and 90.00 degrees. Symmetry generates all atoms from Zn at (0.0000, 0.0000, 0.0000), In at (0.5000, 0.5000, 0.5000), Ga at (0.0000, 0.5000, 0.2373) and Ga at (0.5000, 0.5000, 0.0000).

***

No. 3
VASP calculation (PBE-GGA) on a relaxed MnAs2Pt crystal.

The calculation puts the calculated volume at 142.8 Å³/cell. The density of states at the Fermi level is 4.8 states/eV/cell. Its formation energy from the elements is -0.044 eV per atom. The value obtained for the energy above the lowest structure with this stoichiometry is 100.8 meV per atom.

The space group is C2/m (No. 12) and the conventional cell measures 6.8332, 3.7365 and 5.9375 Å, with angles of 90.00, 109.56 and 90.00 degrees. Symmetry generates all atoms from Mn at (0.0000, 0.0000, 0.0000), As at (0.2445, 0.0000, 0.7408) and Pt at (0.0000, 0.5000, 0.5000).

***

No. 4
VASP calculation (PBE-GGA) on a relaxed SrNb3Os crystal.

The calculation puts the calculated volume at 105.2 Å³/cell. The density of states at the Fermi level is 9.7 states/eV/cell. Its formation energy from the elements is 2.922 eV per atom. The value obtained for the energy above the lowest structure with this stoichiometry is 2098.1 meV per atom.

The space group is Pm-3m (No. 221) and the conventional cell measures 4.7208, 4.7208 and 4.7208 Å, with angles of 90.00, 90.00 and 90.00 degrees. Symmetry generates all atoms from Sr at (0.0000, 0.0000, 0.0000), Nb at (0.0000, 0.0000, 0.5000) and Os at (0.5000, 0.5000, 0.5000).

***

No. 5
VASP calculation (PBE-GGA) on a relaxed CaMoOs crystal.

The calculation puts the calculated volume at 249.4 Å³/cell. The density of states at the Fermi level is 14.3 states/eV/cell. Its formation energy from the elements is 0.769 eV per atom. The value obtained for the energy above the lowest structure with this stoichiometry is 93.8 meV per atom.

The space group is F-43m (No. 216) and the conventional cell measures 6.2943, 6.2943 and 6.2943 Å, with angles of 90.00, 90.00 and 90.00 degrees. Symmetry generates all atoms from Ca at (0.0000, 0.0000, 0.0000), Mo at (0.0000, 0.0000, 0.5000) and Os at (0.2500, 0.2500, 0.7500).

***

No. 6
VASP calculation (PBE-GGA) on a relaxed InPt2Rh crystal.

The calculation puts the calculated volume at 65.3 Å³/cell. The density of states at the Fermi level is 3.4 states/eV/cell. Its formation energy from the elements is -0.217 eV per atom.

The space group is Pmm2 (No. 25) and the conventional cell measures 2.8827, 4.6576 and 4.8652 Å, with angles of 90.00, 90.00 and 90.00 degrees. Symmetry generates all atoms from In at (0.0000, 0.0000, 0.0000), Pt at (0.5000, 0.0000, 0.4902), Pt at (0.5000, 0.5000, 0.8491) and Rh at (0.0000, 0.5000, 0.3671).

***

No. 7
VASP calculation (PBE-GGA) on a relaxed BaPr3Os crystal.

The calculation puts the calculated volume at 192.6 Å³/cell. The density of states at the Fermi level is 4.1 states/eV/cell. Its formation energy from the elements is 0.060 eV per atom.

The space group is Pm-3m (No. 221) and the conventional cell measures 5.7745, 5.7745 and 5.7745 Å, with angles of 90.00, 90.00 and 90.00 degrees. Symmetry generates all atoms from Ba at (0.0000, 0.0000, 0.0000), Pr at (0.0000, 0.5000, 0.5000) and Os at (0.5000, 0.5000, 0.5000).

***

No. 8
VASP calculation (PBE-GGA) on a relaxed CaPOs2 crystal.

The calculation puts the calculated volume at 65.1 Å³/cell. The density of states at the Fermi level is 3.2 states/eV/cell. Its formation energy from the elements is 0.223 eV per atom.

The space group is P4/mmm (No. 123) and the conventional cell measures 2.9508, 2.9508 and 7.4798 Å, with angles of 90.00, 90.00 and 90.00 degrees. Symmetry generates all atoms from Ca at (0.0000, 0.0000, 0.0000), P at (0.0000, 0.0000, 0.5000) and Os at (0.5000, 0.5000, 0.3184).

***

No. 9
VASP calculation (PBE-GGA) on a relaxed Sc2NiBr crystal.

The calculation puts the calculated volume at 155.8 Å³/cell. The density of states at the Fermi level is 7.0 states/eV/cell. The value obtained for the energy above the lowest structure with this stoichiometry is 389.5 meV per atom.

The space group is Immm (No. 71) and the conventional cell measures 3.7954, 5.3885 and 7.6156 Å, with angles of 90.00, 90.00 and 90.00 degrees. Symmetry generates all atoms from Sc at (0.0000, 0.0000, 0.2371), Ni at (0.0000, 0.5000, 0.5000) and Br at (0.0000, 0.5000, 0.0000).

***

No. 10
VASP calculation (PBE-GGA) on a relaxed Sr2TeCl crystal.

The calculation puts the calculated volume at 266.3 Å³/cell. The density of states at the Fermi level is 4.1 states/eV/cell. The value obtained for the energy above the lowest structure with this stoichiometry is 155.9 meV per atom.

The space group is Immm (No. 71) and the conventional cell measures 4.6672, 6.6075 and 8.6349 Å, with angles of 90.00, 90.00 and 90.00 degrees. Symmetry generates all atoms from Sr at (0.0000, 0.0000, 0.2312), Te at (0.0000, 0.5000, 0.0000) and Cl at (0.0000, 0.5000, 0.5000).

***

No. 11
VASP calculation (PBE-GGA) on a relaxed KBe2RePd crystal.

The calculation puts the calculated volume at 102.2 Å³/cell. The density of states at the Fermi level is 4.4 states/eV/cell. Its formation energy from the elements is 1.190 eV per atom.

The space group is P4/mmm (No. 123) and the conventional cell measures 4.4933, 4.4933 and 5.0612 Å, with angles of 90.00, 90.00 and 90.00 degrees. Symmetry generates all atoms from K at (0.0000, 0.0000, 0.0000), Be at (0.0000, 0.5000, 0.5000), Re at (0.5000, 0.5000, 0.0000) and Pd at (0.5000, 0.5000, 0.5000).

***

No. 12
VASP calculation (PBE-GGA) on a relaxed BaAl2Sb crystal.

The calculation puts the calculated volume at 120.0 Å³/cell. As for the total DFT energy (no corrections): -3.66 eV/atom. The density of states at the Fermi level is 2.2 states/eV/cell.

The space group is Pmm2 (No. 25) and the conventional cell measures 4.2559, 4.2674 and 6.6057 Å, with angles of 90.00, 90.00 and 90.00 degrees. Symmetry generates all atoms from Ba at (0.0000, 0.0000, 0.0000), Al at (0.0000, 0.5000, 0.4297), Al at (0.5000, 0.0000, 0.4307) and Sb at (0.5000, 0.5000, 0.7264).

***

No. 13
VASP calculation (PBE-GGA) on a relaxed GeIrSe crystal.

The calculation puts the calculated volume at 165.5 Å³/cell. As for the total DFT energy (no corrections): -5.52 eV/atom. The density of states at the Fermi level is 4.6 states/eV/cell.

The space group is P3_221 (No. 154) and the conventional cell measures 5.5887, 5.5887 and 6.1186 Å, with angles of 90.00, 90.00 and 120.00 degrees. Symmetry generates all atoms from Ge at (0.0000, 0.4722, 0.3333), Ir at (0.0000, 0.7835, 0.8333) and Se at (0.0000, 0.3265, 0.8333).

***

No. 14
VASP calculation (PBE-GGA) on a relaxed Pr2NdPuBi4 crystal.

The calculation puts the calculated volume at 277.0 Å³/cell. The density of states at the Fermi level is 18.2 states/eV/cell. Its formation energy from the elements is -0.792 eV per atom.

The space group is P2/m (No. 10) and the conventional cell measures 7.9795, 4.6128 and 7.9816 Å, with angles of 90.00, 109.44 and 90.00 degrees. Symmetry generates all atoms from Pr at (0.0000, 0.0000, 0.0000), Pr at (0.0000, 0.5000, 0.5000), Nd at (0.5000, 0.0000, 0.5000), Pu at (0.5000, 0.5000, 0.0000), Bi at (0.2542, 0.5000, 0.2485) and Bi at (0.2562, 0.0000, 0.7549).

***

No. 15
VASP calculation (PBE-GGA) on a relaxed CsNa3Nb crystal.

The calculation puts the calculated volume at 232.9 Å³/cell. The density of states at the Fermi level is 5.6 states/eV/cell. Its formation energy from the elements is 1.525 eV per atom. The value obtained for the energy above the lowest structure with this stoichiometry is 590.2 meV per atom.

The space group is Pm-3m (No. 221) and the conventional cell measures 6.1526, 6.1526 and 6.1526 Å, with angles of 90.00, 90.00 and 90.00 degrees. Symmetry generates all atoms from Cs at (0.0000, 0.0000, 0.0000), Na at (0.0000, 0.0000, 0.5000) and Nb at (0.5000, 0.5000, 0.5000).

***

No. 16
VASP calculation (PBE-GGA) on a relaxed LiTl3Pd2Cl9 crystal.

The calculation puts the calculated volume at 371.2 Å³/cell. As for the total DFT energy (no corrections): -3.22 eV/atom. The density of states at the Fermi level is 7.9 states/eV/cell.

The space group is P-3m1 (No. 164) and the conventional cell measures 7.0540, 7.0540 and 8.6135 Å, with angles of 90.00, 90.00 and 120.00 degrees. Symmetry generates all atoms from Li at (0.0000, 0.0000, 0.0000), Tl at (0.0000, 0.0000, 0.5000), Tl at (0.3333, 0.6667, 0.1470), Pd at (0.3333, 0.6667, 0.6627), Cl at (0.0000, 0.5000, 0.5000) and Cl at (0.1693, 0.3386, 0.8249).

***

No. 17
VASP calculation (PBE-GGA) on a relaxed PmHo3F crystal.

The calculation puts the calculated volume at 128.5 Å³/cell. As for the total DFT energy (no corrections): -4.99 eV/atom. The density of states at the Fermi level is 5.3 states/eV/cell.

The space group is Pm-3m (No. 221) and the conventional cell measures 5.0462, 5.0462 and 5.0462 Å, with angles of 90.00, 90.00 and 90.00 degrees. Symmetry generates all atoms from Pm at (0.0000, 0.0000, 0.0000), Ho at (0.0000, 0.5000, 0.5000) and F at (0.5000, 0.5000, 0.5000).

***

No. 18
VASP calculation (PBE-GGA) on a relaxed LaPrC crystal.

The calculation puts the calculated volume at 456.1 Å³/cell. The density of states at the Fermi level is 14.8 states/eV/cell. Its formation energy from the elements is 0.195 eV per atom. The value obtained for the energy above the lowest structure with this stoichiometry is 296.7 meV per atom.

The space group is P6_222 (No. 180) and the conventional cell measures 6.9676, 6.9676 and 10.8493 Å, with angles of 90.00, 90.00 and 120.00 degrees. Symmetry generates all atoms from La at (0.0000, 0.5000, 0.3339), Pr at (0.0000, 0.0000, 0.1667), Pr at (0.0000, 0.5000, 0.6667) and C at (0.3311, 0.6622, 0.5000).